## MgP2Ru (PBE)

Data for MgP2Ru after structural relaxation.

Output
Its space group is Pmm2, No. 25. The value obtained for the formation energy is -130 meV per atom.

Cell and atoms, written as CIF:
```
data_MgP2Ru
_chemical_formula_sum 'Mg1 P2 Ru1'
_cell_length_a 2.953
_cell_length_b 3.767
_cell_length_c 5.401
_cell_angle_alpha 90.00
_cell_angle_beta 90.00
_cell_angle_gamma 90.00
_symmetry_space_group_name_H-M 'P 1'
_symmetry_Int_Tables_number 1
_symmetry_space_group_name_Hall 'P 1'
loop_
_atom_site_label
_atom_site_fract_x
_atom_site_fract_y
_atom_site_fract_z
Ru1 0.000 0.000 0.427
P1 0.500 0.500 0.313
P2 0.000 0.000 0.967
Mg1 0.500 0.500 0.793
```